# 1
Density functional theory data (PBE) for a relaxed structure of LaPb.

Properties
- E_tot: -9.377 eV per cell
- Spin magnetization: 0.46 μB/f.u.
- E_form: -0.74 eV/f.u.

a b c (Å): 3.763 3.763 5.407
angles (deg): 90.00 90.00 120.00
Fractional positions:
La: 0.000 0.000 0.000
Pb: 0.667 0.333 0.500

# 2
Density functional theory data (PBE) for a relaxed structure of LaPb.

Properties
- E_tot: -17.955 eV per cell
- Spin magnetization: 0.00 μB/f.u.
- E_form: -0.34 eV/f.u.

a b c (Å): 3.894 3.894 8.928
angles (deg): 90.00 90.00 90.00
Fractional positions:
La: 0.250 0.250 0.152
La: 0.750 0.750 0.848
Pb: 0.250 0.250 0.604
Pb: 0.750 0.750 0.396

# 3
Density functional theory data (PBE) for a relaxed structure of La3Pb.

Properties
- E_tot: -16.027 eV per cell
- Spin magnetization: 0.03 μB/f.u.
- E_form: 2.46 eV/f.u.

a b c (Å): 6.237 6.237 6.237
angles (deg): 90.00 90.00 90.00
Fractional positions:
La: 0.000 0.000 0.500
La: 0.000 0.500 0.000
La: 0.500 0.000 0.000
Pb: 0.000 0.000 0.000

# 4
Density functional theory data (PBE) for a relaxed structure of LaPb2.

Properties
- E_tot: -26.616 eV per cell
- Spin magnetization: 0.00 μB/f.u.
- E_form: -0.96 eV/f.u.

a b c (Å): 10.621 10.621 10.621
angles (deg): 155.57 155.57 34.82
Fractional positions:
La: 0.375 0.625 0.750
La: 0.625 0.375 0.250
Pb: 0.050 0.800 0.250
Pb: 0.200 0.950 0.250
Pb: 0.800 0.050 0.750
Pb: 0.950 0.200 0.750

# 5
Density functional theory data (PBE) for a relaxed structure of La3Pb.

Properties
- E_tot: -39.390 eV per cell
- Spin magnetization: 0.91 μB/f.u.
- E_form: -1.20 eV/f.u.

a b c (Å): 6.480 6.480 6.480
angles (deg): 90.00 90.00 90.00
Fractional positions:
La: 0.000 0.250 0.500
La: 0.000 0.750 0.500
La: 0.250 0.500 0.000
La: 0.500 0.000 0.250
La: 0.500 0.000 0.750
La: 0.750 0.500 0.000
Pb: 0.000 0.000 0.000
Pb: 0.500 0.500 0.500

# 6
Density functional theory data (PBE) for a relaxed structure of La5PdPb2.

Properties
- E_tot: -83.828 eV per cell
- Spin magnetization: 0.00 μB/f.u.
- E_form: -4.67 eV/f.u.

a b c (Å): 8.305 13.007 4.886
angles (deg): 90.00 90.00 90.00
Fractional positions:
La: 0.000 0.000 0.000
La: 0.147 0.289 0.000
La: 0.184 0.564 0.500
La: 0.316 0.064 0.500
La: 0.353 0.789 0.000
La: 0.500 0.500 0.000
La: 0.647 0.211 0.000
La: 0.684 0.936 0.500
La: 0.816 0.436 0.500
La: 0.853 0.711 0.000
Pd: 0.000 0.500 0.000
Pd: 0.500 0.000 0.000
Pb: 0.076 0.829 0.500
Pb: 0.424 0.329 0.500
Pb: 0.576 0.671 0.500
Pb: 0.924 0.171 0.500

# 7
Density functional theory data (PBE) for a relaxed structure of LaPdPb2.

Properties
- E_tot: -37.288 eV per cell
- Spin magnetization: 0.00 μB/f.u.
- E_form: -1.11 eV/f.u.

a b c (Å): 11.537 11.537 11.537
angles (deg): 157.22 157.22 32.44
Fractional positions:
La: 0.000 0.000 0.000
La: 0.750 0.250 0.500
Pd: 0.250 0.750 0.500
Pd: 0.500 0.500 0.000
Pb: 0.153 0.625 0.028
Pb: 0.375 0.403 0.528
Pb: 0.597 0.125 0.972
Pb: 0.875 0.847 0.472

# 8
Density functional theory data (PBE) for a relaxed structure of LaPd4Pb4.

Properties
- E_tot: -43.990 eV per cell
- Spin magnetization: 0.00 μB/f.u.
- E_form: -3.46 eV/f.u.

a b c (Å): 7.268 7.268 7.268
angles (deg): 95.98 95.98 142.33
Fractional positions:
La: 0.000 0.000 0.000
Pd: 0.309 0.420 0.728
Pd: 0.420 0.691 0.111
Pd: 0.580 0.309 0.889
Pd: 0.691 0.580 0.272
Pb: 0.129 0.645 0.774
Pb: 0.355 0.129 0.485
Pb: 0.645 0.871 0.515
Pb: 0.871 0.355 0.226